Entry from the Alexandria database: crystalline PmNiAs2Rh2 at its relaxed geometry (PBE).

- Calculated total energy: -6.31 eV/atom

Cell and atoms, written as POSCAR:
```
PmNiAs2Rh2
1.0
4.0205 0.0000 0.0000
0.0000 4.0205 0.0000
-2.0103 -2.0103 7.2169
Pm As Ni Rh
1 2 1 2
Direct
0.5000 0.5000 0.0000
0.8473 0.8473 0.6946
0.1527 0.1527 0.3054
0.0000 0.0000 0.0000
0.7500 0.2500 0.5000
0.2500 0.7500 0.5000
```